# 1
The following is a DFT calculation (PBE) of crystalline Sm2Ge2HRu2 at its relaxed geometry.

final energy = -6.447 eV/atom
mass density = 8.65 g/cm3

Structure (CIF):
```
data_Sm2Ge2HRu2
_chemical_formula_sum 'Sm2 Ge2 H1 Ru2'
_cell_length_a 4.1630
_cell_length_b 4.1630
_cell_length_c 7.7722
_cell_angle_alpha 105.53
_cell_angle_beta 105.53
_cell_angle_gamma 90.00
_space_group_name_H-M_alt 'P 1'
_space_group_IT_number 1
loop_
_space_group_symop_operation_xyz
'x,y,z'
loop_
_atom_site_label
_atom_site_type_symbol
_atom_site_fract_x
_atom_site_fract_y
_atom_site_fract_z
Ge1 Ge 0.3917 0.3917 0.7834
Ge2 Ge 0.6083 0.6083 0.2166
Sm1 Sm 0.8409 0.8409 0.6817
Sm2 Sm 0.1591 0.1591 0.3183
Ru1 Ru 0.0000 0.5000 0.0000
Ru2 Ru 0.5000 0.0000 0.0000
H1 H 0.0000 0.0000 0.0000
```

# 2
The following is a DFT calculation (PBE) of crystalline SrGeHRu at its relaxed geometry.

final energy = -5.203 eV/atom
mass density = 5.72 g/cm3

Structure (CIF):
```
data_SrGeHRu
_chemical_formula_sum 'Sr2 Ge2 H2 Ru2'
_cell_length_a 4.3104
_cell_length_b 4.3104
_cell_length_c 8.1953
_cell_angle_alpha 90.00
_cell_angle_beta 90.00
_cell_angle_gamma 90.00
_space_group_name_H-M_alt 'P 1'
_space_group_IT_number 1
loop_
_space_group_symop_operation_xyz
'x,y,z'
loop_
_atom_site_label
_atom_site_type_symbol
_atom_site_fract_x
_atom_site_fract_y
_atom_site_fract_z
H1 H 0.5000 0.5000 0.5000
H2 H 0.0000 0.0000 0.5000
Ru1 Ru 0.0000 0.0000 0.0000
Ru2 Ru 0.5000 0.5000 0.0000
Sr1 Sr 0.0000 0.5000 0.3397
Sr2 Sr 0.5000 0.0000 0.6603
Ge1 Ge 0.0000 0.5000 0.8628
Ge2 Ge 0.5000 0.0000 0.1372
```

# 3
The following is a DFT calculation (PBE) of crystalline Ta2GeHRu at its relaxed geometry.

final energy = -8.303 eV/atom
mass density = 13.27 g/cm3

Structure (CIF):
```
data_Ta2GeHRu
_chemical_formula_sum 'Ta2 Ge1 H1 Ru1'
_cell_length_a 4.1398
_cell_length_b 4.1398
_cell_length_c 3.9177
_cell_angle_alpha 90.00
_cell_angle_beta 90.00
_cell_angle_gamma 90.00
_space_group_name_H-M_alt 'P 1'
_space_group_IT_number 1
loop_
_space_group_symop_operation_xyz
'x,y,z'
loop_
_atom_site_label
_atom_site_type_symbol
_atom_site_fract_x
_atom_site_fract_y
_atom_site_fract_z
Ta1 Ta 0.5000 0.0000 0.0000
Ta2 Ta 0.0000 0.5000 0.0000
Ru1 Ru 0.0000 0.0000 0.5000
Ge1 Ge 0.5000 0.5000 0.5000
H1 H 0.0000 0.0000 0.0000
```

# 4
The following is a DFT calculation (PBE) of crystalline TaGeHRu2 at its relaxed geometry.

final energy = -7.739 eV/atom
mass density = 12.02 g/cm3

Structure (CIF):
```
data_TaGeHRu2
_chemical_formula_sum 'Ta1 Ge1 H1 Ru2'
_cell_length_a 4.0345
_cell_length_b 4.0345
_cell_length_c 3.8759
_cell_angle_alpha 90.00
_cell_angle_beta 90.00
_cell_angle_gamma 90.00
_space_group_name_H-M_alt 'P 1'
_space_group_IT_number 1
loop_
_space_group_symop_operation_xyz
'x,y,z'
loop_
_atom_site_label
_atom_site_type_symbol
_atom_site_fract_x
_atom_site_fract_y
_atom_site_fract_z
H1 H 0.0000 0.0000 0.0000
Ru1 Ru 0.0000 0.5000 0.0000
Ru2 Ru 0.5000 0.0000 0.0000
Ge1 Ge 0.5000 0.5000 0.5000
Ta1 Ta 0.0000 0.0000 0.5000
```

# 5
The following is a DFT calculation (PBE) of crystalline Tb2Ge2HRu2 at its relaxed geometry.

final energy = -6.449 eV/atom
mass density = 9.21 g/cm3

Structure (CIF):
```
data_Tb2Ge2HRu2
_chemical_formula_sum 'Tb2 Ge2 H1 Ru2'
_cell_length_a 4.1344
_cell_length_b 4.1344
_cell_length_c 7.6107
_cell_angle_alpha 105.76
_cell_angle_beta 105.76
_cell_angle_gamma 90.00
_space_group_name_H-M_alt 'P 1'
_space_group_IT_number 1
loop_
_space_group_symop_operation_xyz
'x,y,z'
loop_
_atom_site_label
_atom_site_type_symbol
_atom_site_fract_x
_atom_site_fract_y
_atom_site_fract_z
Ru1 Ru 0.0000 0.5000 0.0000
Ru2 Ru 0.5000 0.0000 0.0000
Ge1 Ge 0.3877 0.3877 0.7754
Ge2 Ge 0.6123 0.6123 0.2246
Tb1 Tb 0.8407 0.8407 0.6815
Tb2 Tb 0.1593 0.1593 0.3185
H1 H 0.0000 0.0000 0.0000
```

# 6
The following is a DFT calculation (PBE) of crystalline TbGeHRu2 at its relaxed geometry.

final energy = -6.638 eV/atom
mass density = 9.90 g/cm3

Structure (CIF):
```
data_TbGeHRu2
_chemical_formula_sum 'Tb2 Ge2 H2 Ru4'
_cell_length_a 3.3282
_cell_length_b 5.9447
_cell_length_c 7.6768
_cell_angle_alpha 90.00
_cell_angle_beta 90.00
_cell_angle_gamma 106.26
_space_group_name_H-M_alt 'P 1'
_space_group_IT_number 1
loop_
_space_group_symop_operation_xyz
'x,y,z'
loop_
_atom_site_label
_atom_site_type_symbol
_atom_site_fract_x
_atom_site_fract_y
_atom_site_fract_z
Ge1 Ge 0.2575 0.5150 0.2500
Ge2 Ge 0.7425 0.4850 0.7500
Ru1 Ru 0.1506 0.3013 0.5452
Ru2 Ru 0.8494 0.6987 0.0452
Ru3 Ru 0.8494 0.6987 0.4548
Ru4 Ru 0.1506 0.3013 0.9548
Tb1 Tb 0.4673 0.9347 0.7500
Tb2 Tb 0.5327 0.0653 0.2500
H1 H 0.0000 0.0000 0.0000
H2 H 0.0000 0.0000 0.5000
```

# 7
The following is a DFT calculation (PBE) of crystalline ThGeH6Ru3 at its relaxed geometry.

final energy = -5.719 eV/atom
mass density = 9.44 g/cm3

Structure (CIF):
```
data_ThGeH6Ru3
_chemical_formula_sum 'Th1 Ge1 H6 Ru3'
_cell_length_a 4.7996
_cell_length_b 4.7996
_cell_length_c 4.7996
_cell_angle_alpha 83.22
_cell_angle_beta 96.78
_cell_angle_gamma 83.22
_space_group_name_H-M_alt 'P 1'
_space_group_IT_number 1
loop_
_space_group_symop_operation_xyz
'x,y,z'
loop_
_atom_site_label
_atom_site_type_symbol
_atom_site_fract_x
_atom_site_fract_y
_atom_site_fract_z
H1 H 0.6921 0.5828 0.0701
H2 H 0.6921 0.9300 0.4173
H3 H 0.0701 0.3079 0.4172
H4 H 0.0700 0.5827 0.6921
H5 H 0.4173 0.3079 0.0700
H6 H 0.4172 0.9299 0.6921
Ru1 Ru 0.0870 0.4996 0.0870
Ru2 Ru 0.5004 0.9130 0.0870
Ru3 Ru 0.0870 0.9130 0.5004
Ge1 Ge 0.9696 0.0304 0.9696
Th1 Th 0.5678 0.4322 0.5678
```

# 8
The following is a DFT calculation (PBE) of crystalline Ti2GeHRu at its relaxed geometry.

final energy = -7.100 eV/atom
mass density = 7.21 g/cm3

Structure (CIF):
```
data_Ti2GeHRu
_chemical_formula_sum 'Ti2 Ge1 H1 Ru1'
_cell_length_a 4.0127
_cell_length_b 4.0127
_cell_length_c 3.8708
_cell_angle_alpha 90.00
_cell_angle_beta 90.00
_cell_angle_gamma 90.00
_space_group_name_H-M_alt 'P 1'
_space_group_IT_number 1
loop_
_space_group_symop_operation_xyz
'x,y,z'
loop_
_atom_site_label
_atom_site_type_symbol
_atom_site_fract_x
_atom_site_fract_y
_atom_site_fract_z
Ru1 Ru 0.0000 0.0000 0.5000
Ti1 Ti 0.0000 0.5000 0.0000
Ti2 Ti 0.5000 0.0000 0.0000
Ge1 Ge 0.5000 0.5000 0.5000
H1 H 0.0000 0.0000 0.0000
```

# 9
The following is a DFT calculation (PBE) of crystalline Tl2GeHRu at its relaxed geometry.

final energy = -3.866 eV/atom
mass density = 10.77 g/cm3

Structure (CIF):
```
data_Tl2GeHRu
_chemical_formula_sum 'Tl2 Ge1 H1 Ru1'
_cell_length_a 5.0572
_cell_length_b 3.5185
_cell_length_c 5.0572
_cell_angle_alpha 90.00
_cell_angle_beta 90.00
_cell_angle_gamma 90.00
_space_group_name_H-M_alt 'P 1'
_space_group_IT_number 1
loop_
_space_group_symop_operation_xyz
'x,y,z'
loop_
_atom_site_label
_atom_site_type_symbol
_atom_site_fract_x
_atom_site_fract_y
_atom_site_fract_z
Ru1 Ru 0.0000 0.5000 0.0000
Ge1 Ge 0.5000 0.5000 0.5000
Tl1 Tl 0.0000 0.0000 0.5000
Tl2 Tl 0.5000 0.0000 0.0000
H1 H 0.0000 0.0000 0.0000
```

# 10
The following is a DFT calculation (PBE) of crystalline TmGeHRu2 at its relaxed geometry.

final energy = -6.631 eV/atom
mass density = 10.40 g/cm3

Structure (CIF):
```
data_TmGeHRu2
_chemical_formula_sum 'Tm2 Ge2 H2 Ru4'
_cell_length_a 3.2577
_cell_length_b 5.9516
_cell_length_c 7.6149
_cell_angle_alpha 90.00
_cell_angle_beta 90.00
_cell_angle_gamma 105.88
_space_group_name_H-M_alt 'P 1'
_space_group_IT_number 1
loop_
_space_group_symop_operation_xyz
'x,y,z'
loop_
_atom_site_label
_atom_site_type_symbol
_atom_site_fract_x
_atom_site_fract_y
_atom_site_fract_z
Ru1 Ru 0.8512 0.7024 0.0434
Ru2 Ru 0.8512 0.7024 0.4566
Ru3 Ru 0.1488 0.2976 0.5434
Ru4 Ru 0.1488 0.2976 0.9566
Tm1 Tm 0.5285 0.0571 0.2500
Tm2 Tm 0.4715 0.9429 0.7500
H1 H 0.0000 0.0000 0.5000
H2 H 0.0000 0.0000 0.0000
Ge1 Ge 0.2550 0.5099 0.2500
Ge2 Ge 0.7450 0.4901 0.7500
```

# 11
The following is a DFT calculation (PBE) of crystalline Tm2Ge2HRu2 at its relaxed geometry.

final energy = -6.405 eV/atom
mass density = 9.85 g/cm3

Structure (CIF):
```
data_Tm2Ge2HRu2
_chemical_formula_sum 'Tm2 Ge2 H1 Ru2'
_cell_length_a 4.1049
_cell_length_b 4.1049
_cell_length_c 7.4558
_cell_angle_alpha 105.98
_cell_angle_beta 105.98
_cell_angle_gamma 90.00
_space_group_name_H-M_alt 'P 1'
_space_group_IT_number 1
loop_
_space_group_symop_operation_xyz
'x,y,z'
loop_
_atom_site_label
_atom_site_type_symbol
_atom_site_fract_x
_atom_site_fract_y
_atom_site_fract_z
Ru1 Ru 0.0000 0.5000 0.0000
Ru2 Ru 0.5000 0.0000 0.0000
Tm1 Tm 0.1593 0.1593 0.3185
Tm2 Tm 0.8407 0.8407 0.6815
Ge1 Ge 0.3839 0.3839 0.7677
Ge2 Ge 0.6161 0.6161 0.2323
H1 H 0.0000 0.0000 0.0000
```

# 12
The following is a DFT calculation (PBE) of crystalline TmGeHRu at its relaxed geometry.

final energy = -6.081 eV/atom
mass density = 9.65 g/cm3

Structure (CIF):
```
data_TmGeHRu
_chemical_formula_sum 'Tm2 Ge2 H2 Ru2'
_cell_length_a 4.0773
_cell_length_b 4.0773
_cell_length_c 7.1130
_cell_angle_alpha 90.00
_cell_angle_beta 90.00
_cell_angle_gamma 90.00
_space_group_name_H-M_alt 'P 1'
_space_group_IT_number 1
loop_
_space_group_symop_operation_xyz
'x,y,z'
loop_
_atom_site_label
_atom_site_type_symbol
_atom_site_fract_x
_atom_site_fract_y
_atom_site_fract_z
Ge1 Ge 0.0000 0.5000 0.8049
Ge2 Ge 0.5000 0.0000 0.1951
H1 H 0.5000 0.5000 0.5000
H2 H 0.0000 0.0000 0.5000
Tm1 Tm 0.0000 0.5000 0.3420
Tm2 Tm 0.5000 0.0000 0.6580
Ru1 Ru 0.0000 0.0000 0.0000
Ru2 Ru 0.5000 0.5000 0.0000
```

- What is the mass density in the ninth record?
  10.77 g/cm3

- The highest final energy belongs to which entry?
  Tl2GeHRu

- The lowest mass density belongs to which entry?
  SrGeHRu

- final energy of number 8 (Ti2GeHRu)?
  -7.100 eV/atom